1.
Density functional theory data (GGA-PBE) for a relaxed NaZn2Bi crystal.

M_tot: 0.0 μB/f.u.
Crystal system: tetragonal
Space group: No. 123
Total DFT energy (no corrections): -1.89 eV/atom

Geometry as POSCAR:
```
NaZn2Bi
1.0
4.5027 0.0000 0.0000
0.0000 4.5027 0.0000
0.0000 0.0000 4.4037
Na Zn Bi
1 2 1
Cartesian
0.0000 0.0000 0.0000
0.0000 2.2513 2.2019
2.2513 0.0000 2.2019
2.2513 2.2513 0.0000
```

***

2.
Density functional theory data (GGA-PBE) for a relaxed NaZn2Bi2 crystal.

M_tot: 0.0 μB/f.u.
Crystal system: tetragonal
Space group: No. 139
Energy above the most stable polymorph in this dataset: 0.23 eV per formula unit
Total DFT energy (no corrections): -2.37 eV/atom

Geometry as POSCAR:
```
NaZn2Bi2
1.0
-2.4312 2.4312 5.9047
2.4312 -2.4312 5.9047
2.4312 2.4312 -5.9047
Na Zn Bi
1 2 2
Cartesian
0.0000 0.0000 0.0000
0.0000 0.0000 4.6927
0.0000 0.0000 7.1166
2.4312 0.0000 2.9523
0.0000 2.4312 2.9523
```

***

3.
Density functional theory data (GGA-PBE) for a relaxed NaZn2Bi2 crystal.

M_tot: 0.0 μB/f.u.
Crystal system: tetragonal
Space group: No. 123
Energy above the most stable polymorph in this dataset: 0.63 eV per formula unit
Total DFT energy (no corrections): -2.28 eV/atom

Geometry as POSCAR:
```
NaZn2Bi2
1.0
4.4457 0.0000 0.0000
0.0000 4.4457 0.0000
0.0000 0.0000 7.0107
Na Zn Bi
1 2 2
Cartesian
0.0000 0.0000 0.0000
0.0000 2.2229 3.5053
2.2229 0.0000 3.5053
2.2229 2.2229 1.6254
2.2229 2.2229 5.3853
```

***

4.
Density functional theory data (GGA-PBE) for a relaxed Na2ZnBi crystal.

M_tot: 0.0 μB/f.u.
Crystal system: orthorhombic
Space group: No. 64
Energy above the most stable polymorph in this dataset: 0.27 eV per formula unit
Total DFT energy (no corrections): -2.05 eV/atom

Geometry as POSCAR:
```
Na2ZnBi
1.0
5.2707 -5.8652 0.0000
5.2707 5.8652 0.0000
0.0000 0.0000 7.1487
Na Zn Bi
8 4 4
Cartesian
2.6353 2.8208 5.3615
5.2707 4.6668 6.0448
5.2707 1.1984 2.4705
2.6353 -2.8208 1.7872
7.9060 2.8208 5.3615
5.2707 -1.1984 4.6782
5.2707 -4.6668 1.1039
7.9060 -2.8208 1.7872
5.2707 4.2891 2.7933
5.2707 1.5761 6.3676
5.2707 -1.5761 0.7810
5.2707 -4.2891 4.3554
2.3893 0.0000 3.5743
2.8813 0.0000 0.0000
7.6600 0.0000 0.0000
8.1520 0.0000 3.5743
```

***

5.
Density functional theory data (GGA-PBE) for a relaxed Na2ZnBi2 crystal.

M_tot: 0.0 μB/f.u.
Crystal system: tetragonal
Space group: No. 127
Energy above the most stable polymorph in this dataset: 0.00 eV per formula unit
Total DFT energy (no corrections): -2.52 eV/atom

Geometry as POSCAR:
```
Na2ZnBi2
1.0
7.5810 0.0000 0.0000
0.0000 7.5810 0.0000
0.0000 0.0000 5.2170
Na Zn Bi
4 2 4
Cartesian
1.2254 2.5650 0.0000
2.5650 6.3555 0.0000
5.0159 1.2254 0.0000
6.3555 5.0159 0.0000
0.0000 0.0000 2.6085
3.7905 3.7905 2.6085
1.1353 4.9258 2.6085
2.6551 1.1353 2.6085
4.9258 6.4456 2.6085
6.4456 2.6551 2.6085
```

***

6.
Density functional theory data (GGA-PBE) for a relaxed Na2ZnBi3 crystal.

M_tot: 0.0 μB/f.u.
Crystal system: orthorhombic
Space group: No. 69
Total DFT energy (no corrections): -2.70 eV/atom

Geometry as POSCAR:
```
Na2ZnBi3
1.0
0.0000 5.3192 9.3337
3.4481 0.0000 9.3337
3.4481 5.3192 0.0000
Na Zn Bi
4 2 6
Cartesian
5.1971 5.3192 9.3337
1.7240 2.6596 4.6669
5.1721 7.9789 14.0006
1.6990 5.3192 9.3337
3.4481 5.3192 6.3417
3.4481 5.3192 12.3257
3.4481 2.7683 7.7129
3.4481 5.3192 3.5145
3.4481 2.7683 10.9545
3.4481 7.8702 7.7129
3.4481 5.3192 15.1530
3.4481 7.8702 10.9545
```

***

7.
Density functional theory data (GGA-PBE) for a relaxed Na2ZnBi crystal.

M_tot: 0.0 μB/f.u.
Crystal system: tetragonal
Space group: No. 123
Energy above the most stable polymorph in this dataset: 0.35 eV per formula unit
Total DFT energy (no corrections): -2.03 eV/atom

Geometry as POSCAR:
```
Na2ZnBi
1.0
3.6124 0.0000 0.0000
0.0000 3.6124 0.0000
0.0000 0.0000 8.1532
Na Zn Bi
2 1 1
Cartesian
0.0000 0.0000 1.9211
0.0000 0.0000 6.2320
1.8062 1.8062 0.0000
1.8062 1.8062 4.0766
```

***

8.
Density functional theory data (GGA-PBE) for a relaxed NaZn3Bi3 crystal.

M_tot: 0.0 μB/f.u.
Crystal system: cubic
Space group: No. 223
Total DFT energy (no corrections): -2.27 eV/atom

Geometry as POSCAR:
```
NaZn3Bi3
1.0
7.8000 0.0000 0.0000
0.0000 7.8000 0.0000
0.0000 0.0000 7.8000
Na Zn Bi
2 6 6
Cartesian
0.0000 0.0000 0.0000
3.9000 3.9000 3.9000
0.0000 1.9500 3.9000
0.0000 5.8500 3.9000
1.9500 3.9000 0.0000
3.9000 0.0000 1.9500
3.9000 0.0000 5.8500
5.8500 3.9000 0.0000
0.0000 3.9000 1.9500
0.0000 3.9000 5.8500
1.9500 0.0000 3.9000
3.9000 1.9500 0.0000
3.9000 5.8500 0.0000
5.8500 0.0000 3.9000
```